Re2AgSb | GGA-PBE | optimized geometry

Its magnetic moment is 0.00 μB/f.u. The uncorrected formation energy comes out at 2.91 eV/f.u. Its total DFT energy (no corrections) is -28.96 eV/cell.

Cell: 6.058 6.058 6.058 Å, 152.43 134.07 54.41°
Fractional positions:
Re 0.766 0.266 0.500
Ag 0.235 0.735 0.500
Sb 0.538 0.538 0.000
Re 0.960 0.960 0.000



Ba6HgGe2 | GGA-PBE | optimized geometry

Its magnetic moment is 0.82 μB/f.u. The calculation puts the formation enthalpy at 0 K at -0.378 eV per atom. Its total DFT energy (no corrections) is -48.95 eV/cell.

Cell: 10.062 10.062 10.062 Å, 107.22 111.16 110.06°
Fractional positions:
Ba 0.312 0.635 0.323
Ba 0.199 0.768 0.966
Ge 0.500 0.391 0.891
Ba 0.199 0.232 0.431
Ba 0.461 0.284 0.177
Ba 0.894 0.716 0.177
Ba 0.688 0.365 0.677
Ba 0.106 0.284 0.823
Hg 0.000 0.000 0.000
Ge 0.372 0.000 0.372
Ge 0.628 0.000 0.628
Ba 0.312 0.989 0.677
Ba 0.688 0.011 0.323
Ba 0.801 0.768 0.569
Ba 0.801 0.232 0.034
Ba 0.539 0.716 0.823
Hg 0.000 0.500 0.500
Ge 0.500 0.609 0.109



CeCdRh | GGA-PBE | optimized geometry

Its magnetic moment is 0.34 μB/f.u. The calculation puts the formation enthalpy at 0 K at -0.510 eV per atom. Its total DFT energy (no corrections) is -31.46 eV/cell.

Cell: 5.272 5.028 5.385 Å, 90.00 99.14 90.00°
Fractional positions:
Cd 0.015 0.250 0.853
Rh 0.808 0.750 0.621
Ce 0.368 0.750 0.690
Cd 0.985 0.750 0.147
Rh 0.192 0.250 0.379
Ce 0.632 0.250 0.310



Pm2CrReN5 | GGA-PBE | optimized geometry

Its magnetic moment is 0.00 μB/f.u. The uncorrected formation energy comes out at -3.71 eV/f.u. Its total DFT energy (no corrections) is -153.82 eV/cell.

Cell: 3.242 7.118 11.017 Å, 90.00 90.00 103.16°
Fractional positions:
N 0.344 0.688 0.341
Pm 0.151 0.302 0.639
Pm 0.849 0.698 0.139
N 0.429 0.859 0.282
N 0.656 0.312 0.841
N 0.646 0.292 0.473
Re 0.226 0.452 0.915
Re 0.774 0.548 0.415
Cr 0.133 0.266 0.094
N 0.980 0.960 0.550
N 0.020 0.040 0.050
Cr 0.867 0.734 0.594
N 0.650 0.301 0.188
N 0.571 0.141 0.782
N 0.354 0.708 0.973
N 0.350 0.699 0.688
Pm 0.939 0.879 0.842
Pm 0.061 0.121 0.342



Fe2Co4Pt5 | GGA-PBE | optimized geometry

Its magnetic moment is 15.20 μB/f.u. The calculation puts the formation enthalpy at 0 K at -0.019 eV per atom. Its total DFT energy (no corrections) is -151.53 eV/cell.

Cell: 3.976 5.635 13.482 Å, 90.00 90.00 90.00°
Fractional positions:
Pt 0.000 0.588 0.595
Co 0.500 0.796 0.953
Pt 0.000 0.500 0.000
Co 0.500 0.390 0.880
Co 0.500 0.110 0.380
Pt 0.000 0.163 0.693
Pt 0.000 0.000 0.500
Pt 0.000 0.412 0.405
Co 0.500 0.704 0.453
Fe 0.500 0.485 0.710
Pt 0.000 0.912 0.095
Co 0.500 0.296 0.547
Pt 0.000 0.837 0.307
Pt 0.000 0.337 0.193
Fe 0.500 0.985 0.790
Fe 0.500 0.015 0.210
Co 0.500 0.610 0.120
Fe 0.500 0.515 0.290
Co 0.500 0.890 0.620
Co 0.500 0.204 0.047
Pt 0.000 0.663 0.807
Pt 0.000 0.088 0.905



SrAl2Ni | GGA-PBE | optimized geometry

Its magnetic moment is 0.00 μB/f.u. The calculation puts the formation enthalpy at 0 K at -0.126 eV per atom. Its total DFT energy (no corrections) is -15.45 eV/cell.

Cell: 4.138 4.851 4.849 Å, 67.71 90.00 90.00°
Fractional positions:
Ni 0.500 0.250 0.250
Sr 0.500 0.750 0.750
Al 0.000 0.087 0.087
Al 0.000 0.413 0.413



LiAcSbRh | GGA-PBE | optimized geometry

Its magnetic moment is 0.00 μB/f.u. The uncorrected formation energy comes out at -2.64 eV/f.u. Its total DFT energy (no corrections) is -20.13 eV/cell.

Cell: 4.982 4.982 4.982 Å, 60.00 60.00 60.00°
Fractional positions:
Rh 0.500 0.500 0.500
Ac 0.750 0.750 0.750
Sb 0.250 0.250 0.250
Li 0.000 0.000 0.000



LiLa5Hg4 | GGA-PBE | optimized geometry

Its magnetic moment is 1.68 μB/f.u. The calculation puts the formation enthalpy at 0 K at -0.385 eV per atom. Its total DFT energy (no corrections) is -31.61 eV/cell.

Cell: 3.940 3.940 19.229 Å, 90.00 90.00 90.00°
Fractional positions:
La 0.500 0.500 0.101
Hg 0.000 0.000 0.399
La 0.500 0.500 0.899
La 0.500 0.500 0.701
Li 0.000 0.000 0.000
La 0.500 0.500 0.299
La 0.500 0.500 0.500
Hg 0.000 0.000 0.195
Hg 0.000 0.000 0.601
Hg 0.000 0.000 0.805



Cs3HoEr3Te8 | GGA-PBE | optimized geometry

Its magnetic moment is 0.00 μB/f.u. The uncorrected formation energy comes out at -19.72 eV/f.u. Its total DFT energy (no corrections) is -65.68 eV/cell.

Cell: 8.792 8.795 10.524 Å, 114.72 90.00 120.00°
Fractional positions:
Er 0.000 0.500 0.500
Te 0.231 0.958 0.690
Te 0.231 0.463 0.690
Er 0.500 0.500 0.500
Te 0.769 0.042 0.310
Te 0.730 0.460 0.689
Te 0.270 0.540 0.311
Er 0.500 0.000 0.500
Te 0.769 0.537 0.310
Cs 0.000 0.500 0.000
Ho 0.000 0.000 0.500
Cs 0.500 0.500 0.000
Cs 0.000 0.000 0.000
Te 0.273 0.042 0.310
Te 0.727 0.958 0.690



Ce4MgCo4 | GGA-PBE | optimized geometry

Its magnetic moment is 0.00 μB/f.u. The calculation puts the formation enthalpy at 0 K at -0.002 eV per atom. Its total DFT energy (no corrections) is -107.54 eV/cell.

Cell: 6.657 6.657 8.618 Å, 90.00 90.00 90.00°
Fractional positions:
Ce 0.000 0.268 0.363
Co 0.000 0.679 0.629
Mg 0.000 0.000 0.000
Ce 0.500 0.232 0.137
Ce 0.768 0.500 0.863
Co 0.500 0.821 0.871
Ce 0.000 0.732 0.363
Co 0.500 0.179 0.871
Ce 0.500 0.768 0.137
Co 0.179 0.500 0.129
Ce 0.268 0.000 0.637
Co 0.321 0.000 0.371
Ce 0.232 0.500 0.863
Mg 0.500 0.500 0.500
Co 0.679 0.000 0.371
Ce 0.732 0.000 0.637
Co 0.821 0.500 0.129
Co 0.000 0.321 0.629



Tm4ScTe5 | GGA-PBE | optimized geometry

Its magnetic moment is 0.00 μB/f.u. The uncorrected formation energy comes out at -11.54 eV/f.u. Its total DFT energy (no corrections) is -51.46 eV/cell.

Cell: 6.032 7.415 7.415 Å, 80.48 66.00 66.00°
Fractional positions:
Tm 0.183 0.228 0.407
Te 0.502 0.000 0.000
Sc 0.003 0.000 0.000
Te 0.715 0.177 0.395
Tm 0.411 0.407 0.772
Te 0.109 0.605 0.177
Tm 0.818 0.772 0.593
Te 0.892 0.395 0.823
Tm 0.590 0.593 0.228
Te 0.286 0.823 0.605



YSnPt2 | GGA-PBE | optimized geometry

Its magnetic moment is 0.00 μB/f.u. The calculation puts the formation enthalpy at 0 K at -0.461 eV per atom. Its total DFT energy (no corrections) is -48.78 eV/cell.

Cell: 5.285 5.285 8.584 Å, 72.07 72.07 90.00°
Fractional positions:
Pt 0.375 0.337 0.750
Y 0.500 0.500 0.000
Sn 0.000 0.000 0.000
Pt 0.087 0.625 0.250
Sn 0.750 0.250 0.500
Pt 0.663 0.125 0.250
Pt 0.875 0.913 0.750
Y 0.250 0.750 0.500



Li2Pt3 | GGA-PBE | optimized geometry

Its magnetic moment is 0.35 μB/f.u. The calculation puts the formation enthalpy at 0 K at -0.475 eV per atom. Its total DFT energy (no corrections) is -24.32 eV/cell.

Cell: 11.202 11.202 11.202 Å, 14.05 14.05 14.05°
Fractional positions:
Li 0.602 0.602 0.602
Pt 0.205 0.205 0.205
Pt 0.795 0.795 0.795
Li 0.398 0.398 0.398
Pt 0.000 0.000 0.000



SiBAu | GGA-PBE | optimized geometry

Its magnetic moment is 0.00 μB/f.u. The uncorrected formation energy comes out at 0.56 eV/f.u. Its total DFT energy (no corrections) is -29.63 eV/cell.

Cell: 5.926 3.479 4.700 Å, 86.40 81.86 76.25°
Fractional positions:
B 0.622 0.383 0.417
Si 0.426 0.661 0.790
Si 0.813 0.798 0.348
Au 0.975 0.826 0.840
B 0.617 0.076 0.721
Au 0.264 0.633 0.298



Ca5TaH2N4 | GGA-PBE | optimized geometry

Its magnetic moment is 1.00 μB/f.u. Its total DFT energy (no corrections) is -72.88 eV/cell.

Cell: 5.821 5.653 7.013 Å, 90.00 90.00 120.99°
Fractional positions:
N 0.374 0.333 0.000
N 0.040 0.667 0.000
N 0.609 0.000 0.777
H 0.416 0.444 0.500
H 0.972 0.556 0.500
Ca 0.718 0.648 0.228
Ca 0.718 0.648 0.772
N 0.609 0.000 0.223
Ca 0.070 0.352 0.772
Ta 0.405 0.000 0.000
Ca 0.070 0.352 0.228
Ca 0.405 0.000 0.500



LiCuOs | GGA-PBE | optimized geometry

Its magnetic moment is 0.00 μB/f.u. The calculation puts the formation enthalpy at 0 K at 0.226 eV per atom. Its total DFT energy (no corrections) is -16.56 eV/cell.

Cell: 7.122 6.906 2.594 Å, 84.08 74.68 21.24°
Fractional positions:
Li 0.335 0.335 0.665
Cu 0.999 0.999 0.001
Os 0.666 0.666 0.334



Li2NdTm | GGA-PBE | optimized geometry

Its magnetic moment is 0.00 μB/f.u. The calculation puts the formation enthalpy at 0 K at 0.154 eV per atom. Its total DFT energy (no corrections) is -12.45 eV/cell.

Cell: 5.296 5.296 5.296 Å, 60.00 60.00 60.00°
Fractional positions:
Li 0.250 0.250 0.250
Tm 0.000 0.000 0.000
Li 0.750 0.750 0.750
Nd 0.500 0.500 0.500



La8C3SI4 | GGA-PBE | optimized geometry

Its magnetic moment is 0.00 μB/f.u. The uncorrected formation energy comes out at -15.34 eV/f.u. Its total DFT energy (no corrections) is -92.76 eV/cell.

Cell: 8.067 9.220 8.085 Å, 116.08 119.93 90.00°
Fractional positions:
I 0.500 0.000 0.500
I 0.500 0.000 0.000
C 0.500 0.500 0.500
La 0.706 0.678 0.942
S 0.000 0.500 0.000
La 0.725 0.674 0.450
I 0.000 0.000 0.000
La 0.764 0.322 0.058
La 0.275 0.326 0.550
I 0.000 0.000 0.500
La 0.236 0.678 0.942
La 0.764 0.322 0.528
La 0.294 0.322 0.058
C 0.000 0.500 0.500
La 0.236 0.678 0.472
C 0.500 0.500 0.000



Tm2MnS4 | GGA-PBE | optimized geometry

Its magnetic moment is 5.00 μB/f.u. The uncorrected formation energy comes out at -11.55 eV/f.u. Its total DFT energy (no corrections) is -184.69 eV/cell.

Cell: 7.762 7.762 13.445 Å, 106.80 90.00 120.00°
Fractional positions:
S 0.869 0.239 0.623
S 0.631 0.761 0.877
Mn 0.062 0.625 0.687
Tm 0.500 0.000 0.500
S 0.869 0.754 0.623
Mn 0.437 0.375 0.813
S 0.373 0.246 0.619
S 0.631 0.246 0.877
S 0.627 0.754 0.381
S 0.616 0.246 0.377
Tm 0.000 0.000 0.500
S 0.131 0.246 0.377
Tm 0.250 0.000 0.250
S 0.369 0.754 0.123
Tm 0.000 0.500 0.000
Tm 0.500 0.000 0.000
Mn 0.563 0.625 0.187
Tm 0.500 0.500 0.500
S 0.116 0.246 0.877
S 0.127 0.754 0.881
Tm 0.000 0.000 0.000
Mn 0.938 0.375 0.313
S 0.369 0.239 0.123
S 0.873 0.246 0.119
S 0.131 0.761 0.377
Tm 0.750 0.000 0.750
S 0.384 0.754 0.623
S 0.884 0.754 0.123



Ho6Cu2Tc | GGA-PBE | optimized geometry

Its magnetic moment is 0.00 μB/f.u. The calculation puts the formation enthalpy at 0 K at -0.120 eV per atom. Its total DFT energy (no corrections) is -94.21 eV/cell.

Cell: 8.254 8.254 8.254 Å, 109.93 109.28 109.20°
Fractional positions:
Ho 0.814 0.739 0.552
Ho 0.919 0.745 0.174
Ho 0.814 0.261 0.075
Ho 0.712 0.042 0.330
Ho 0.186 0.261 0.448
Cu 0.500 0.623 0.123
Ho 0.712 0.382 0.670
Ho 0.288 0.618 0.330
Ho 0.288 0.958 0.670
Ho 0.570 0.745 0.826
Ho 0.186 0.739 0.925
Ho 0.081 0.255 0.826
Tc 0.000 0.000 0.000
Cu 0.349 0.000 0.349
Cu 0.651 0.000 0.651
Tc 0.000 0.500 0.500
Ho 0.430 0.255 0.174
Cu 0.500 0.377 0.877